## CdCuSnIr (PBE)

Data for a relaxed structure of CdCuSnIr.

Geometry as CIF:
```
data_CdCuSnIr
_cell_length_a 6.482
_cell_length_b 6.482
_cell_length_c 6.482
_cell_angle_alpha 90.00
_cell_angle_beta 90.00
_cell_angle_gamma 90.00
_symmetry_space_group_name_H-M 'F -4 3 m'
_symmetry_Int_Tables_number 216
_symmetry_space_group_name_Hall 'F -4 2 3'
loop_
_atom_site_label
_atom_site_type_symbol
_atom_site_fract_x
_atom_site_fract_y
_atom_site_fract_z
Cd1 Cd 0.000 0.000 0.000
Cu1 Cu 0.250 0.250 0.750
Sn1 Sn 0.000 0.000 0.500
Ir1 Ir 0.250 0.250 0.250
```

Calculated values
The calculation puts the total energy at -4.30 eV/atom. Its relative energy among the computed polymorphs is 0 meV/atom.